(1)
# ReWBr

ReWBr after structural relaxation (PBE, Alexandria).

```
ReWBr
1.0
-1.536 1.536 5.632
1.536 -1.536 5.632
1.536 1.536 -5.632
Re W Br
1 1 1
Direct
0.000 0.000 0.000
0.371 0.371 0.000
0.693 0.693 0.000
```

Values from the calculation:
For the total magnetic moment, the calculation gives 0.0 μB per cell. The uncorrected formation energy is 759 meV per atom. Its total energy is -24.8 eV per formula unit. For the theoretical density, the calculation gives 14.1 g cm⁻³.

---

(2)
# Cs2CeAl2Se6

Cs2CeAl2Se6 after structural relaxation (PBE, Alexandria).

```
Cs2CeAl2Se6
1.0
3.881 2.241 7.772
-3.881 2.241 7.772
0.000 -4.482 7.772
Cs Ce Al Se
2 1 2 6
Direct
0.220 0.220 0.220
0.780 0.780 0.780
0.000 0.000 0.000
0.406 0.406 0.406
0.594 0.594 0.594
0.242 0.242 0.755
0.242 0.755 0.242
0.245 0.758 0.758
0.755 0.242 0.242
0.758 0.245 0.758
0.758 0.758 0.245
```

Values from the calculation:
For the total magnetic moment, the calculation gives 0.1 μB per cell. The uncorrected formation energy is -1102 meV per atom. Its total energy is -48.2 eV per formula unit. For the theoretical density, the calculation gives 3.8 g cm⁻³.

---

(3)
# BeAl2Tc

BeAl2Tc after structural relaxation (PBE, Alexandria).

```
BeAl2Tc
1.0
4.408 -1.337 0.000
4.408 1.337 0.000
-0.722 0.000 4.595
Be Al Tc
1 2 1
Direct
0.000 0.000 0.000
0.249 0.249 0.752
0.751 0.751 0.248
0.500 0.500 0.500
```

Values from the calculation:
For the total magnetic moment, the calculation gives 0.0 μB per cell. Its total energy is -21.7 eV per formula unit. For the theoretical density, the calculation gives 4.9 g cm⁻³.

---

(4)
# CePmMnN3

CePmMnN3 after structural relaxation (PBE, Alexandria).

```
CePmMnN3
1.0
7.253 0.000 0.000
0.000 3.477 0.000
-0.752 0.000 7.441
Ce Pm Mn N
2 2 2 6
Direct
0.136 0.250 0.178
0.864 0.750 0.822
0.345 0.750 0.831
0.655 0.250 0.169
0.425 0.750 0.406
0.575 0.250 0.594
0.101 0.250 0.866
0.342 0.250 0.469
0.379 0.750 0.152
0.621 0.250 0.848
0.658 0.750 0.531
0.899 0.750 0.134
```

Values from the calculation:
For the total magnetic moment, the calculation gives 2.1 μB per cell. The uncorrected formation energy is -1052 meV per atom. Its total energy is -51.1 eV per formula unit. For the theoretical density, the calculation gives 6.8 g cm⁻³.

---

(5)
# TaSbMo2

TaSbMo2 after structural relaxation (PBE, Alexandria).

```
TaSbMo2
1.0
1.589 0.917 8.412
-1.589 0.917 8.412
0.000 -1.835 8.412
Ta Sb Mo
1 1 2
Direct
0.000 0.000 0.000
0.500 0.500 0.500
0.253 0.253 0.253
0.747 0.747 0.747
```

Values from the calculation:
For the total magnetic moment, the calculation gives 0.0 μB per cell. The uncorrected formation energy is 331 meV per atom. Its total energy is -36.3 eV per formula unit. For the theoretical density, the calculation gives 11.2 g cm⁻³.

---

(6)
# Rb2SnS3

Rb2SnS3 after structural relaxation (PBE, Alexandria).

```
Rb2SnS3
1.0
3.568 -7.271 0.000
3.568 7.271 0.000
-0.016 0.000 15.974
Rb Sn S
8 4 12
Direct
0.044 0.456 0.647
0.138 0.361 0.064
0.361 0.138 0.564
0.456 0.044 0.147
0.544 0.956 0.853
0.639 0.862 0.436
0.862 0.639 0.936
0.956 0.544 0.353
0.250 0.250 0.336
0.250 0.250 0.836
0.750 0.750 0.164
0.750 0.750 0.664
0.074 0.926 0.750
0.089 0.411 0.851
0.158 0.343 0.458
0.343 0.158 0.958
0.411 0.089 0.351
0.426 0.574 0.250
0.574 0.426 0.750
0.589 0.911 0.649
0.657 0.842 0.042
0.842 0.657 0.542
0.911 0.589 0.149
0.926 0.074 0.250
```

Values from the calculation:
For the total magnetic moment, the calculation gives 0.0 μB per cell. The uncorrected formation energy is -921 meV per atom. Its total energy is -23.8 eV per formula unit. For the theoretical density, the calculation gives 3.1 g cm⁻³.

---

(7)
# Y2TmPa

Y2TmPa after structural relaxation (PBE, Alexandria).

```
Y2TmPa
1.0
1.666 0.962 12.214
-1.666 0.962 12.214
0.000 -1.923 12.214
Y Tm Pa
2 1 1
Direct
0.088 0.088 0.088
0.912 0.912 0.912
0.500 0.500 0.500
0.000 0.000 0.000
```

Values from the calculation:
For the total magnetic moment, the calculation gives 0.0 μB per cell. Its total energy is -25.7 eV per formula unit. For the theoretical density, the calculation gives 8.2 g cm⁻³.

---

(8)
# LaNd4Sm

LaNd4Sm after structural relaxation (PBE, Alexandria).

```
LaNd4Sm
1.0
2.901 1.675 7.624
-2.901 1.675 7.624
0.000 -3.349 7.624
La Nd Sm
1 4 1
Direct
0.000 0.000 0.000
0.214 0.214 0.214
0.368 0.368 0.368
0.632 0.632 0.632
0.786 0.786 0.786
0.500 0.500 0.500
```

Values from the calculation:
For the total magnetic moment, the calculation gives 0.0 μB per cell. Its total energy is -26.6 eV per formula unit. For the theoretical density, the calculation gives 6.5 g cm⁻³.

---

(9)
# Ac2PrZn

Ac2PrZn after structural relaxation (PBE, Alexandria).

```
Ac2PrZn
1.0
1.967 1.136 11.036
-1.967 1.136 11.036
0.000 -2.272 11.036
Ac Pr Zn
2 1 1
Direct
0.000 0.000 0.000
0.190 0.190 0.190
0.428 0.428 0.428
0.595 0.595 0.595
```

Values from the calculation:
For the total magnetic moment, the calculation gives 0.0 μB per cell. Its total energy is -14.3 eV per formula unit. For the theoretical density, the calculation gives 7.4 g cm⁻³.

---

(10)
# Sc6Pb2O

Sc6Pb2O after structural relaxation (PBE, Alexandria).

```
Sc6Pb2O
1.0
-3.198 3.198 4.553
3.198 -3.198 4.553
3.198 3.198 -4.553
Sc Pb O
6 2 1
Direct
0.246 0.246 0.000
0.249 0.249 0.499
0.249 0.751 0.000
0.751 0.249 0.000
0.751 0.751 0.501
0.754 0.754 0.000
0.250 0.750 0.500
0.750 0.250 0.500
0.000 0.000 0.000
```

Values from the calculation:
For the total magnetic moment, the calculation gives 0.0 μB per cell. The uncorrected formation energy is -882 meV per atom. Its total energy is -58.3 eV per formula unit. For the theoretical density, the calculation gives 6.2 g cm⁻³.

---

(11)
# Ta3SnGe

Ta3SnGe after structural relaxation (PBE, Alexandria).

```
Ta3SnGe
1.0
4.768 0.000 0.000
0.000 4.768 0.000
0.000 0.000 4.768
Ta Sn Ge
3 1 1
Direct
0.000 0.000 0.500
0.000 0.500 0.000
0.500 0.000 0.000
0.500 0.500 0.500
0.000 0.000 0.000
```

Values from the calculation:
For the total magnetic moment, the calculation gives 0.0 μB per cell. Its total energy is -39.2 eV per formula unit. For the theoretical density, the calculation gives 11.3 g cm⁻³.

---

(12)
# Li2Ce2HfO6

Li2Ce2HfO6 after structural relaxation (PBE, Alexandria).

```
Li2Ce2HfO6
1.0
2.882 1.664 5.212
-2.882 1.664 5.212
0.000 -3.328 5.212
Li Ce Hf O
2 2 1 6
Direct
0.074 0.074 0.074
0.926 0.926 0.926
0.297 0.297 0.297
0.703 0.703 0.703
0.500 0.500 0.500
0.256 0.256 0.717
0.256 0.717 0.256
0.283 0.744 0.744
0.717 0.256 0.256
0.744 0.283 0.744
0.744 0.744 0.283
```

Values from the calculation:
For the total magnetic moment, the calculation gives 2.0 μB per cell. The uncorrected formation energy is -2740 meV per atom. Its total energy is -85.5 eV per formula unit. For the theoretical density, the calculation gives 6.3 g cm⁻³.

---

(13)
# Cs2MnBiI

Cs2MnBiI after structural relaxation (PBE, Alexandria).

```
Cs2MnBiI
1.0
7.163 0.000 0.000
0.000 7.163 0.000
0.000 0.000 6.242
Cs Mn Bi I
2 1 1 1
Direct
0.000 0.500 0.000
0.500 0.000 0.000
0.000 0.000 0.500
0.500 0.500 0.500
0.500 0.500 0.000
```

Values from the calculation:
For the total magnetic moment, the calculation gives 4.8 μB per cell. The uncorrected formation energy is 315 meV per atom. Its total energy is -14.7 eV per formula unit. For the theoretical density, the calculation gives 3.4 g cm⁻³.

---

(14)
# CaNb2H

CaNb2H after structural relaxation (PBE, Alexandria).

```
CaNb2H
1.0
0.000 3.278 3.278
3.278 0.000 3.278
3.278 3.278 0.000
Ca Nb H
1 2 1
Direct
0.000 0.000 0.000
0.250 0.250 0.250
0.750 0.750 0.750
0.500 0.500 0.500
```

Values from the calculation:
For the total magnetic moment, the calculation gives 0.0 μB per cell. Its total energy is -19.1 eV per formula unit. For the theoretical density, the calculation gives 5.3 g cm⁻³.

---

(15)
# CsSm4Tl5

CsSm4Tl5 after structural relaxation (PBE, Alexandria).

```
CsSm4Tl5
1.0
3.917 0.000 0.000
0.000 3.917 0.000
0.000 0.000 20.788
Cs Sm Tl
1 4 5
Direct
0.000 0.000 0.000
0.000 0.000 0.223
0.000 0.000 0.408
0.000 0.000 0.592
0.000 0.000 0.777
0.500 0.500 0.140
0.500 0.500 0.317
0.500 0.500 0.500
0.500 0.500 0.683
0.500 0.500 0.860
```

Values from the calculation:
For the total magnetic moment, the calculation gives 0.0 μB per cell. Its total energy is -34.6 eV per formula unit. For the theoretical density, the calculation gives 9.1 g cm⁻³.

---

(16)
# Na3CuRh2Se6

Na3CuRh2Se6 after structural relaxation (PBE, Alexandria).

```
Na3CuRh2Se6
1.0
3.311 -5.748 0.000
3.311 5.748 0.000
-2.232 0.000 6.631
Na Cu Rh Se
3 1 2 6
Direct
0.000 0.000 0.000
0.335 0.665 0.000
0.665 0.335 0.000
0.500 0.500 0.500
0.167 0.833 0.500
0.833 0.167 0.500
0.097 0.436 0.309
0.225 0.225 0.690
0.436 0.097 0.309
0.564 0.903 0.691
0.775 0.775 0.310
0.903 0.564 0.691
```

Values from the calculation:
For the total magnetic moment, the calculation gives 0.3 μB per cell. The uncorrected formation energy is -573 meV per atom. Its total energy is -50.5 eV per formula unit. For the theoretical density, the calculation gives 5.3 g cm⁻³.

---

(17)
# TcRh2Cl

TcRh2Cl after structural relaxation (PBE, Alexandria).

```
TcRh2Cl
1.0
4.681 0.000 0.000
0.000 4.681 0.000
0.000 0.000 2.762
Tc Rh Cl
1 2 1
Direct
0.000 0.000 0.000
0.000 0.500 0.500
0.500 0.000 0.500
0.500 0.500 0.000
```

Values from the calculation:
For the total magnetic moment, the calculation gives 0.0 μB per cell. The uncorrected formation energy is 691 meV per atom. Its total energy is -24.2 eV per formula unit. For the theoretical density, the calculation gives 9.3 g cm⁻³.

---

(18)
# RbSb3Pb3

RbSb3Pb3 after structural relaxation (PBE, Alexandria).

```
RbSb3Pb3
1.0
10.534 0.000 0.000
-5.267 9.123 0.000
0.000 0.000 5.844
Rb Sb Pb
2 6 6
Direct
0.333 0.667 0.250
0.667 0.333 0.750
0.043 0.625 0.750
0.375 0.418 0.750
0.418 0.043 0.250
0.582 0.957 0.750
0.625 0.582 0.250
0.957 0.375 0.250
0.053 0.334 0.750
0.281 0.947 0.750
0.334 0.281 0.250
0.666 0.719 0.750
0.719 0.053 0.250
0.947 0.666 0.250
```

Values from the calculation:
For the total magnetic moment, the calculation gives 0.0 μB per cell. The uncorrected formation energy is -36 meV per atom. Its total energy is -24.7 eV per formula unit. For the theoretical density, the calculation gives 6.3 g cm⁻³.

---

(19)
# LiAg4Sb

LiAg4Sb after structural relaxation (PBE, Alexandria).

```
LiAg4Sb
1.0
0.000 3.931 3.931
3.931 0.000 3.931
3.931 3.931 0.000
Li Ag Sb
1 4 1
Direct
0.000 0.000 0.000
0.123 0.626 0.626
0.626 0.123 0.626
0.626 0.626 0.123
0.626 0.626 0.626
0.250 0.250 0.250
```

Values from the calculation:
For the total magnetic moment, the calculation gives 0.0 μB per cell. The uncorrected formation energy is -50 meV per atom. Its total energy is -17.7 eV per formula unit. For the theoretical density, the calculation gives 7.7 g cm⁻³.

---

(20)
# TbEr4Tm5

TbEr4Tm5 after structural relaxation (PBE, Alexandria).

```
TbEr4Tm5
1.0
5.346 0.000 0.000
0.005 6.930 0.000
2.658 0.000 8.208
Tb Er Tm
1 4 5
Direct
0.000 0.000 0.000
0.200 0.001 0.600
0.390 0.252 0.220
0.611 0.252 0.780
0.800 0.501 0.398
0.000 0.501 0.000
0.200 0.502 0.601
0.389 0.750 0.220
0.611 0.750 0.780
0.800 0.000 0.400
```

Values from the calculation:
For the total magnetic moment, the calculation gives 0.0 μB per cell. Its total energy is -44.7 eV per formula unit. For the theoretical density, the calculation gives 9.1 g cm⁻³.